Compound: BaBeFe
Source: OQMD via LeMat-Bulk
Functional: PBE
Structure: relaxed

```
data_BaBeFe
_space_group_name_H-M_alt 'F -4 3 m'
_space_group_IT_number 216
_space_group_name_Hall 'F -4 2 3'
_cell_length_a 7.220
_cell_length_b 7.220
_cell_length_c 7.220
_cell_angle_alpha 90.00
_cell_angle_beta 90.00
_cell_angle_gamma 90.00
loop_
_atom_site_label
_atom_site_fract_x
_atom_site_fract_y
_atom_site_fract_z
Ba1 0.000 0.000 0.000
Be1 0.250 0.250 0.750
Fe1 0.250 0.250 0.250
```

Total magnetization: 11.554 μB per cell
Calculated density: 3.57 Mg/m³
Relative energy among the computed polymorphs: 1301 meV/atom


Compound: Cd2P2PdO8
Source: OQMD via LeMat-Bulk
Functional: PBE
Structure: relaxed

```
data_Cd2P2PdO8
_space_group_name_H-M_alt 'P -1'
_space_group_IT_number 2
_space_group_name_Hall '-P 1'
_cell_length_a 4.810
_cell_length_b 5.658
_cell_length_c 6.774
_cell_angle_alpha 74.76
_cell_angle_beta 85.90
_cell_angle_gamma 69.55
loop_
_atom_site_label
_atom_site_fract_x
_atom_site_fract_y
_atom_site_fract_z
Cd1 0.205 0.226 0.188
P1 0.127 0.174 0.720
Pd1 0.500 0.500 0.500
O1 0.113 0.364 0.850
O2 0.189 0.821 0.329
O3 0.263 0.266 0.509
O4 0.297 0.891 0.832
```

E_tot: -6.076 eV/atom
Calculated density: 5.19 Mg/m³


Compound: TbInGaTe3
Source: OQMD via LeMat-Bulk
Functional: PBE
Structure: relaxed

```
data_TbInGaTe3
_space_group_name_H-M_alt 'C m c m'
_space_group_IT_number 63
_space_group_name_Hall '-C 2c 2'
_cell_length_a 4.543
_cell_length_b 14.942
_cell_length_c 11.537
_cell_angle_alpha 90.00
_cell_angle_beta 90.00
_cell_angle_gamma 90.00
loop_
_atom_site_label
_atom_site_fract_x
_atom_site_fract_y
_atom_site_fract_z
Tb1 0.000 0.000 0.000
In1 0.000 0.246 0.250
Ga1 0.000 0.466 0.750
Te1 0.000 0.081 0.750
Te2 0.000 0.360 0.553
```

Total magnetization: 0.021 μB per cell
E_tot: -3.946 eV/atom
Calculated density: 6.16 Mg/m³


Compound: LuCoNiGe
Source: OQMD via LeMat-Bulk
Functional: PBE
Structure: relaxed

```
data_LuCoNiGe
_space_group_name_H-M_alt 'F -4 3 m'
_space_group_IT_number 216
_space_group_name_Hall 'F -4 2 3'
_cell_length_a 6.258
_cell_length_b 6.258
_cell_length_c 6.258
_cell_angle_alpha 90.00
_cell_angle_beta 90.00
_cell_angle_gamma 90.00
loop_
_atom_site_label
_atom_site_fract_x
_atom_site_fract_y
_atom_site_fract_z
Lu1 0.000 0.000 0.000
Co1 0.000 0.000 0.500
Ni1 0.250 0.250 0.750
Ge1 0.250 0.250 0.250
```

Total magnetization: 5.936 μB per cell
Calculated density: 9.90 Mg/m³
Relative energy among the computed polymorphs: 229 meV/atom


Compound: AcTbCd
Source: OQMD via LeMat-Bulk
Functional: PBE
Structure: relaxed

```
data_AcTbCd
_space_group_name_H-M_alt 'F -4 3 m'
_space_group_IT_number 216
_space_group_name_Hall 'F -4 2 3'
_cell_length_a 7.593
_cell_length_b 7.593
_cell_length_c 7.593
_cell_angle_alpha 90.00
_cell_angle_beta 90.00
_cell_angle_gamma 90.00
loop_
_atom_site_label
_atom_site_fract_x
_atom_site_fract_y
_atom_site_fract_z
Ac1 0.000 0.000 0.000
Tb1 0.250 0.250 0.250
Cd1 0.250 0.250 0.750
```

Total magnetization: 0.043 μB per cell
ΔE_f: 0.566 eV per atom
Calculated density: 7.56 Mg/m³
Relative energy among the computed polymorphs: 163 meV/atom


Compound: Y3In3Pd2Au
Source: OQMD via LeMat-Bulk
Functional: PBE
Structure: relaxed

```
data_Y3In3Pd2Au
_space_group_name_H-M_alt 'P -6 2 m'
_space_group_IT_number 189
_space_group_name_Hall 'P -6 -2'
_cell_length_a 7.7290
_cell_length_b 7.7290
_cell_length_c 3.9273
_cell_angle_alpha 90.00
_cell_angle_beta 90.00
_cell_angle_gamma 120.00
loop_
_atom_site_label
_atom_site_fract_x
_atom_site_fract_y
_atom_site_fract_z
Y1 0.0000 0.4062 0.0000
In1 0.0000 0.7332 0.5000
Pd1 0.3333 0.6667 0.5000
Au1 0.0000 0.0000 0.0000
```

Total magnetization: 0.013 μB per cell
E_tot: -5.368 eV/atom
Calculated density: 8.34 Mg/m³


Compound: LiZrAgS3
Source: OQMD via LeMat-Bulk
Functional: PBE
Structure: relaxed

```
data_LiZrAgS3
_space_group_name_H-M_alt 'P n m a'
_space_group_IT_number 62
_space_group_name_Hall '-P 2ac 2n'
_cell_length_a 12.106
_cell_length_b 3.697
_cell_length_c 10.720
_cell_angle_alpha 90.00
_cell_angle_beta 90.00
_cell_angle_gamma 90.00
loop_
_atom_site_label
_atom_site_fract_x
_atom_site_fract_y
_atom_site_fract_z
Li1 0.126 0.250 0.017
Zr1 0.063 0.250 0.670
Ag1 0.240 0.250 0.293
S1 0.055 0.750 0.848
S2 0.067 0.250 0.416
S3 0.240 0.750 0.123
```

Total magnetization: 0.008 μB per cell
Calculated density: 4.18 Mg/m³
Relative energy among the computed polymorphs: 19 meV/atom


Compound: KRbInAgAu2
Source: OQMD via LeMat-Bulk
Functional: PBE
Structure: relaxed

```
data_KRbInAgAu2
_space_group_name_H-M_alt 'P m m a'
_space_group_IT_number 51
_space_group_name_Hall '-P 2a 2a'
_cell_length_a 5.718
_cell_length_b 6.855
_cell_length_c 9.129
_cell_angle_alpha 90.00
_cell_angle_beta 90.00
_cell_angle_gamma 90.00
loop_
_atom_site_label
_atom_site_fract_x
_atom_site_fract_y
_atom_site_fract_z
K1 0.250 0.000 0.128
Rb1 0.250 0.500 0.364
In1 0.250 0.500 0.927
Ag1 0.000 0.000 0.500
Au1 0.250 0.206 0.724
```

Calculated density: 6.88 Mg/m³
Relative energy among the computed polymorphs: 0 meV/atom


Compound: Be2NiAg
Source: OQMD via LeMat-Bulk
Functional: PBE
Structure: relaxed

```
data_Be2NiAg
_space_group_name_H-M_alt 'F -4 3 m'
_space_group_IT_number 216
_space_group_name_Hall 'F -4 2 3'
_cell_length_a 5.684
_cell_length_b 5.684
_cell_length_c 5.684
_cell_angle_alpha 90.00
_cell_angle_beta 90.00
_cell_angle_gamma 90.00
loop_
_atom_site_label
_atom_site_fract_x
_atom_site_fract_y
_atom_site_fract_z
Be1 0.000 0.000 0.000
Be2 0.250 0.250 0.250
Ni1 0.250 0.250 0.750
Ag1 0.000 0.000 0.500
```

Total magnetization: 0.004 μB per cell
E_tot: -3.803 eV/atom
Calculated density: 6.68 Mg/m³


Compound: PmTaSb
Source: OQMD via LeMat-Bulk
Functional: PBE
Structure: relaxed

```
data_PmTaSb
_space_group_name_H-M_alt 'F -4 3 m'
_space_group_IT_number 216
_space_group_name_Hall 'F -4 2 3'
_cell_length_a 6.878
_cell_length_b 6.878
_cell_length_c 6.878
_cell_angle_alpha 90.00
_cell_angle_beta 90.00
_cell_angle_gamma 90.00
loop_
_atom_site_label
_atom_site_fract_x
_atom_site_fract_y
_atom_site_fract_z
Pm1 0.000 0.000 0.000
Ta1 0.000 0.000 0.500
Sb1 0.250 0.250 0.250
```

Total magnetization: 0.657 μB per cell
Calculated density: 9.14 Mg/m³
Relative energy among the computed polymorphs: 0 meV/atom


Compound: HoLuNb2Si2
Source: OQMD via LeMat-Bulk
Functional: PBE
Structure: relaxed

```
data_HoLuNb2Si2
_space_group_name_H-M_alt 'P 4 m m'
_space_group_IT_number 99
_space_group_name_Hall 'P 4 -2'
_cell_length_a 3.988
_cell_length_b 3.988
_cell_length_c 7.659
_cell_angle_alpha 90.00
_cell_angle_beta 90.00
_cell_angle_gamma 90.00
loop_
_atom_site_label
_atom_site_fract_x
_atom_site_fract_y
_atom_site_fract_z
Ho1 0.000 0.000 0.000
Lu1 0.500 0.500 0.707
Nb1 0.000 0.500 0.356
Si1 0.000 0.000 0.601
Si2 0.500 0.500 0.112
```

Total magnetization: 0.983 μB per cell
E_tot: -7.322 eV/atom
Calculated density: 7.93 Mg/m³


Compound: TbLuTa2Ge2
Source: OQMD via LeMat-Bulk
Functional: PBE
Structure: relaxed

```
data_TbLuTa2Ge2
_space_group_name_H-M_alt 'P 4 m m'
_space_group_IT_number 99
_space_group_name_Hall 'P 4 -2'
_cell_length_a 4.018
_cell_length_b 4.018
_cell_length_c 7.778
_cell_angle_alpha 90.00
_cell_angle_beta 90.00
_cell_angle_gamma 90.00
loop_
_atom_site_label
_atom_site_fract_x
_atom_site_fract_y
_atom_site_fract_z
Tb1 0.000 0.000 0.000
Lu1 0.500 0.500 0.297
Ta1 0.000 0.500 0.644
Ge1 0.000 0.000 0.394
Ge2 0.500 0.500 0.893
```

Total magnetization: 0.996 μB per cell
E_tot: -7.600 eV/atom
Calculated density: 11.12 Mg/m³


Compound: SmGdAsO
Source: OQMD via LeMat-Bulk
Functional: PBE
Structure: relaxed

```
data_SmGdAsO
_space_group_name_H-M_alt 'P 4/n m m'
_space_group_IT_number 129
_cell_length_a 4.346
_cell_length_b 4.346
_cell_length_c 9.065
_cell_angle_alpha 90.00
_cell_angle_beta 90.00
_cell_angle_gamma 90.00
loop_
_space_group_symop_operation_xyz
'x,y,z'
'-x,-y,-z'
'-y+1/2,x,z'
'y+1/2,-x,-z'
'-x+1/2,-y+1/2,z'
'x+1/2,y+1/2,-z'
'y,-x+1/2,z'
'-y,x+1/2,-z'
'x+1/2,-y,-z'
'-x+1/2,y,z'
'-y,-x,-z'
'y,x,z'
'-x,y+1/2,-z'
'x,-y+1/2,z'
'y+1/2,x+1/2,-z'
'-y+1/2,-x+1/2,z'
loop_
_atom_site_label
_atom_site_fract_x
_atom_site_fract_y
_atom_site_fract_z
Sm1 0.250 0.750 0.000
Gd1 0.250 0.250 0.399
As1 0.250 0.250 0.788
O1 0.250 0.750 0.500
```

Total magnetization: 0.053 μB per cell
Calculated density: 7.73 Mg/m³
Relative energy among the computed polymorphs: 109 meV/atom


Compound: SrLiNbPd
Source: OQMD via LeMat-Bulk
Functional: PBE
Structure: relaxed

```
data_SrLiNbPd
_space_group_name_H-M_alt 'F -4 3 m'
_space_group_IT_number 216
_space_group_name_Hall 'F -4 2 3'
_cell_length_a 7.085
_cell_length_b 7.085
_cell_length_c 7.085
_cell_angle_alpha 90.00
_cell_angle_beta 90.00
_cell_angle_gamma 90.00
loop_
_atom_site_label
_atom_site_fract_x
_atom_site_fract_y
_atom_site_fract_z
Sr1 0.000 0.000 0.000
Li1 0.000 0.000 0.500
Nb1 0.250 0.250 0.250
Pd1 0.250 0.250 0.750
```

Total magnetization: 14.934 μB per cell
Calculated density: 5.49 Mg/m³
Relative energy among the computed polymorphs: 254 meV/atom


Compound: Hf6Sn2As
Source: OQMD via LeMat-Bulk
Functional: PBE
Structure: relaxed

```
data_Hf6Sn2As
_space_group_name_H-M_alt 'P -6 2 m'
_space_group_IT_number 189
_space_group_name_Hall 'P -6 -2'
_cell_length_a 7.6037
_cell_length_b 7.6037
_cell_length_c 3.7978
_cell_angle_alpha 90.00
_cell_angle_beta 90.00
_cell_angle_gamma 120.00
loop_
_atom_site_label
_atom_site_fract_x
_atom_site_fract_y
_atom_site_fract_z
Hf1 0.0000 0.2498 0.0000
Hf2 0.0000 0.6082 0.5000
Sn1 0.3333 0.6667 0.0000
As1 0.0000 0.0000 0.5000
```

Total magnetization: 0.000 μB per cell
E_tot: -8.556 eV/atom
Calculated density: 12.08 Mg/m³


Compound: BaSm
Source: OQMD via LeMat-Bulk
Functional: PBE
Structure: relaxed

```
data_BaSm
_space_group_name_H-M_alt 'P -6 m 2'
_space_group_IT_number 187
_space_group_name_Hall 'P -6 2'
_cell_length_a 3.9135
_cell_length_b 3.9135
_cell_length_c 6.5158
_cell_angle_alpha 90.00
_cell_angle_beta 90.00
_cell_angle_gamma 120.00
loop_
_atom_site_label
_atom_site_fract_x
_atom_site_fract_y
_atom_site_fract_z
Ba1 0.0000 0.0000 0.0000
Sm1 0.6667 0.3333 0.5000
```

Total magnetization: 0.503 μB per cell
Calculated density: 5.53 Mg/m³
Relative energy among the computed polymorphs: 0 meV/atom


Compound: ZrCuReTe
Source: OQMD via LeMat-Bulk
Functional: PBE
Structure: relaxed

```
data_ZrCuReTe
_space_group_name_H-M_alt 'F -4 3 m'
_space_group_IT_number 216
_space_group_name_Hall 'F -4 2 3'
_cell_length_a 6.531
_cell_length_b 6.531
_cell_length_c 6.531
_cell_angle_alpha 90.00
_cell_angle_beta 90.00
_cell_angle_gamma 90.00
loop_
_atom_site_label
_atom_site_fract_x
_atom_site_fract_y
_atom_site_fract_z
Zr1 0.000 0.000 0.000
Cu1 0.250 0.250 0.250
Re1 0.000 0.000 0.500
Te1 0.250 0.250 0.750
```

Total magnetization: 0.015 μB per cell
Calculated density: 11.17 Mg/m³
Relative energy among the computed polymorphs: 17 meV/atom


Compound: LiYHgS3
Source: OQMD via LeMat-Bulk
Functional: PBE
Structure: relaxed

```
data_LiYHgS3
_space_group_name_H-M_alt 'C m c m'
_space_group_IT_number 63
_space_group_name_Hall '-C 2c 2'
_cell_length_a 4.101
_cell_length_b 14.144
_cell_length_c 10.457
_cell_angle_alpha 90.00
_cell_angle_beta 90.00
_cell_angle_gamma 90.00
loop_
_atom_site_label
_atom_site_fract_x
_atom_site_fract_y
_atom_site_fract_z
Li1 0.000 0.136 0.250
Y1 0.000 0.500 0.000
Hg1 0.000 0.128 0.750
S1 0.000 0.132 0.524
S2 0.000 0.448 0.750
```

Total magnetization: 0.003 μB per cell
Calculated density: 4.30 Mg/m³
Relative energy among the computed polymorphs: 58 meV/atom


Compound: TaInB4
Source: OQMD via LeMat-Bulk
Functional: PBE
Structure: relaxed

```
data_TaInB4
_space_group_name_H-M_alt 'P 6/m m m'
_space_group_IT_number 191
_space_group_name_Hall '-P 6 2'
_cell_length_a 3.0688
_cell_length_b 3.0688
_cell_length_c 8.3455
_cell_angle_alpha 90.00
_cell_angle_beta 90.00
_cell_angle_gamma 120.00
loop_
_atom_site_label
_atom_site_fract_x
_atom_site_fract_y
_atom_site_fract_z
Ta1 0.0000 0.0000 0.0000
In1 0.0000 0.0000 0.5000
B1 0.3333 0.6667 0.1982
```

Total magnetization: 0.001 μB per cell
E_tot: -7.031 eV/atom
Calculated density: 8.27 Mg/m³


Compound: TaGe2Au
Source: OQMD via LeMat-Bulk
Functional: PBE
Structure: relaxed

```
data_TaGe2Au
_space_group_name_H-M_alt 'F -4 3 m'
_space_group_IT_number 216
_space_group_name_Hall 'F -4 2 3'
_cell_length_a 6.625
_cell_length_b 6.625
_cell_length_c 6.625
_cell_angle_alpha 90.00
_cell_angle_beta 90.00
_cell_angle_gamma 90.00
loop_
_atom_site_label
_atom_site_fract_x
_atom_site_fract_y
_atom_site_fract_z
Ta1 0.000 0.000 0.000
Ge1 0.000 0.000 0.500
Ge2 0.250 0.250 0.750
Au1 0.250 0.250 0.250
```

Total magnetization: 1.714 μB per cell
E_tot: -5.678 eV/atom
Calculated density: 11.95 Mg/m³


Compound: Ta6SbIr
Source: OQMD via LeMat-Bulk
Functional: PBE
Structure: relaxed

```
data_Ta6SbIr
_space_group_name_H-M_alt 'P m -3'
_space_group_IT_number 200
_space_group_name_Hall '-P 2 2 3'
_cell_length_a 5.236
_cell_length_b 5.236
_cell_length_c 5.236
_cell_angle_alpha 90.00
_cell_angle_beta 90.00
_cell_angle_gamma 90.00
loop_
_atom_site_label
_atom_site_fract_x
_atom_site_fract_y
_atom_site_fract_z
Ta1 0.000 0.254 0.500
Sb1 0.000 0.000 0.000
Ir1 0.500 0.500 0.500
```

Total magnetization: 0.003 μB per cell
E_tot: -10.726 eV/atom
Calculated density: 16.19 Mg/m³


Compound: DyEr3C2Se2
Source: OQMD via LeMat-Bulk
Functional: PBE
Structure: relaxed

```
data_DyEr3C2Se2
_space_group_name_H-M_alt 'P 3 m 1'
_space_group_IT_number 156
_space_group_name_Hall 'P 3 -2"'
_cell_length_a 3.7300
_cell_length_b 3.7300
_cell_length_c 13.1680
_cell_angle_alpha 90.00
_cell_angle_beta 90.00
_cell_angle_gamma 120.00
loop_
_atom_site_label
_atom_site_fract_x
_atom_site_fract_y
_atom_site_fract_z
Dy1 0.0000 0.0000 0.0000
Er1 0.0000 0.0000 0.3010
Er2 0.3333 0.6667 0.4997
Er3 0.3333 0.6667 0.7993
C1 0.6667 0.3333 0.4005
C2 0.6667 0.3333 0.8988
Se1 0.0000 0.0000 0.6499
Se2 0.3333 0.6667 0.1522
```

Total magnetization: 0.005 μB per cell
E_tot: -6.634 eV/atom
Calculated density: 8.86 Mg/m³


Compound: KHfNO
Source: OQMD via LeMat-Bulk
Functional: PBE
Structure: relaxed

```
data_KHfNO
_space_group_name_H-M_alt 'P c a 21'
_space_group_IT_number 29
_space_group_name_Hall 'P 2c -2ac'
_cell_length_a 6.395
_cell_length_b 8.312
_cell_length_c 5.607
_cell_angle_alpha 90.00
_cell_angle_beta 90.00
_cell_angle_gamma 90.00
loop_
_atom_site_label
_atom_site_fract_x
_atom_site_fract_y
_atom_site_fract_z
K1 0.074 0.129 0.000
Hf1 0.087 0.604 0.972
N1 0.118 0.565 0.611
O1 0.007 0.180 0.519
```

Total magnetization: 0.008 μB per cell
Calculated density: 5.52 Mg/m³
Relative energy among the computed polymorphs: 0 meV/atom


Compound: ZnHgC4Se4N4
Source: OQMD via LeMat-Bulk
Functional: PBE
Structure: relaxed

```
data_ZnHgC4Se4N4
_space_group_name_H-M_alt 'I -4'
_space_group_IT_number 82
_space_group_name_Hall 'I -4'
_cell_length_a 11.320
_cell_length_b 11.320
_cell_length_c 4.714
_cell_angle_alpha 90.00
_cell_angle_beta 90.00
_cell_angle_gamma 90.00
loop_
_atom_site_label
_atom_site_fract_x
_atom_site_fract_y
_atom_site_fract_z
Zn1 0.000 0.000 0.000
Hg1 0.000 0.500 0.750
C1 0.076 0.219 0.636
Se1 0.123 0.344 0.430
N1 0.046 0.135 0.765
```

E_tot: -5.903 eV/atom
Calculated density: 3.77 Mg/m³